Computed, not measured: FeAg2Os after structural relaxation at the GGA-PBE level of DFT.

DOS(E_F): 3.39 states/eV per cell
formation enthalpy at 0 K: 0.6142 eV/atom
energy above the most stable polymorph in this dataset: 300 meV per atom

Lattice parameters (Å, degrees): 2.733 4.651 4.898 90.00 90.00 90.00
Space group Pmmm (No. 47)
Inequivalent atoms, fractional coordinates:
Fe: 0.000 0.000 0.000 (multiplicity 1)
Ag: 0.000 0.500 0.500 (multiplicity 1)
Ag: 0.500 0.000 0.500 (multiplicity 1)
Os: 0.500 0.500 0.000 (multiplicity 1)



Computed, not measured: YRe2Tc after structural relaxation at the GGA-PBE level of DFT.

DOS(E_F): 3.69 states/eV per cell
formation enthalpy at 0 K: 0.4506 eV/atom
energy above the most stable polymorph in this dataset: 251 meV per atom

Lattice parameters (Å, degrees): 4.617 4.617 3.203 90.00 90.00 90.00
Space group P4/mmm (No. 123)
Inequivalent atoms, fractional coordinates:
Y: 0.000 0.000 0.000 (multiplicity 1)
Re: 0.000 0.500 0.500 (multiplicity 2)
Tc: 0.500 0.500 0.000 (multiplicity 1)



Computed, not measured: Ca2BePN after structural relaxation at the GGA-PBE level of DFT.

DOS(E_F): 2.16 states/eV per cell
E_form (uncorrected): -0.101 eV per atom
energy above the most stable polymorph in this dataset: 969 meV per atom

Lattice parameters (Å, degrees): 4.897 4.897 3.716 90.00 90.00 90.00
Space group P4/mmm (No. 123)
Inequivalent atoms, fractional coordinates:
Ca: 0.000 0.500 0.000 (multiplicity 2)
Be: 0.000 0.000 0.500 (multiplicity 1)
P: 0.500 0.500 0.500 (multiplicity 1)
N: 0.500 0.500 0.000 (multiplicity 1)



Computed, not measured: CsPr2Te3 after structural relaxation at the GGA-PBE level of DFT.

DOS(E_F): 5.35 states/eV per cell
E_form (uncorrected): -1.338 eV per atom
energy above the most stable polymorph in this dataset: 0 meV per atom

Lattice parameters (Å, degrees): 8.395 4.574 12.392 90.00 103.45 90.00
Space group P2_1/m (No. 11)
Inequivalent atoms, fractional coordinates:
Cs: 0.028 0.250 0.343 (multiplicity 2)
Pr: 0.254 0.250 0.993 (multiplicity 2)
Pr: 0.499 0.750 0.314 (multiplicity 2)
Te: 0.142 0.750 0.141 (multiplicity 2)
Te: 0.320 0.750 0.521 (multiplicity 2)
Te: 0.386 0.750 0.845 (multiplicity 2)



Question: energy above the most stable polymorph in this dataset of number 3 (Ca2BePN)?
Answer: 969 meV per atom